## KP2IrS (PBE)

Data for crystalline KP2IrS at its relaxed geometry.

Cell: 4.5316 4.5316 5.5792 Å, 90.00 90.00 90.00°
Closest atoms and distances in Å follow each position.
Space group P4/mmm (No. 123)
One atom of each set of equivalent atoms:
1 K 0.0000 0.0000 0.0000 [1 per cell]  4 S 3.20
2 P 0.0000 0.5000 0.5000 [2 per cell]  2 Ir 2.27
3 Ir 0.5000 0.5000 0.5000 [1 per cell]  4 P 2.27
4 S 0.5000 0.5000 0.0000 [1 per cell]  2 Ir 2.79

The size of the total moment is 0.001 μB/cell. As for the theoretical density: 4.7 g/cm³. The value obtained for the uncorrected formation energy is 65.1 kJ/mol of formula units. Its energy relative to the lowest polymorph listed for this composition is 0.0000 eV per atom.

## PmHo4Hg2 (PBE)

Data for crystalline PmHo4Hg2 at its relaxed geometry.

Cell: 5.0252 5.0252 30.8039 Å, 90.00 90.00 120.00°
Closest atoms and distances in Å follow each position.
Space group R-3m (No. 166, hexagonal axes)
One atom of each set of equivalent atoms:
1 Pm 0.0000 0.0000 0.0000 [3 per cell]  2 Hg 3.13, 6 Ho 3.46
2 Ho 0.0000 0.0000 0.2024 [6 per cell]  4 Hg 3.04-3.10
3 Ho 0.0000 0.0000 0.3947 [6 per cell]  3 Hg 3.16, 3 Pm 3.46
4 Hg 0.0000 0.0000 0.1018 [6 per cell]  7 Ho 3.04-3.16, 1 Pm 3.13

The size of the total moment is 0.113 μB/cell. As for the theoretical density: 8.9 g/cm³. The calculation puts the formation enthalpy at 0 K at 0.03 eV/atom.

## ScHgS2 (PBE)

Data for crystalline ScHgS2 at its relaxed geometry.

Cell: 7.8579 3.7822 6.4948 Å, 90.00 100.11 90.00°
Closest atoms and distances in Å follow each position.
Space group P2/c (No. 13)
One atom of each set of equivalent atoms:
1 Sc 0.0000 0.2287 0.2500 [2 per cell]  6 S 2.57-2.61
2 Hg 0.5000 0.0000 0.0000 [2 per cell]  2 S 2.68
3 S 0.1802 0.2668 0.9574 [4 per cell]  3 Sc 2.57-2.61, 1 Hg 2.68

The size of the total moment is 0.000 μB/cell. As for the theoretical density: 5.4 g/cm³. The value obtained for the uncorrected formation energy is -421.4 kJ/mol of formula units.

## KRb6 (PBE)

Data for crystalline KRb6 at its relaxed geometry.

Cell: 12.0906 12.0906 12.0906 Å, 90.00 90.00 90.00°
Closest atoms and distances in Å follow each position.
Space group Im-3m (No. 229)
One atom of each set of equivalent atoms:
1 K 0.0000 0.0000 0.0000 [2 per cell]  none within 6
2 Rb 0.0000 0.2500 0.5000 [12 per cell]  4 Rb 4.27

The size of the total moment is 0.000 μB/cell. As for the theoretical density: 1.0 g/cm³. The calculation puts the formation enthalpy at 0 K at 0.28 eV/atom. Its energy relative to the lowest polymorph listed for this composition is 0.2713 eV per atom.

## TaAs2Ru (PBE)

Data for crystalline TaAs2Ru at its relaxed geometry.

Cell: 3.0738 4.6815 4.4753 Å, 90.00 90.00 90.00°
Closest atoms and distances in Å follow each position.
Space group Pmm2 (No. 25)
One atom of each set of equivalent atoms:
1 Ta 0.0000 0.0000 0.0000 [1 per cell]  6 As 2.63-2.77
2 As 0.0000 0.5000 0.7342 [1 per cell]  2 Ta 2.63, 4 Ru 2.67-2.75
3 As 0.5000 0.0000 0.4841 [1 per cell]  2 Ru 2.62, 4 Ta 2.66-2.77
4 Ru 0.5000 0.5000 0.2233 [1 per cell]  6 As 2.62-2.75

The size of the total moment is 0.000 μB/cell. As for the theoretical density: 11.1 g/cm³. The calculation puts the formation enthalpy at 0 K at -0.20 eV/atom. Its energy relative to the lowest polymorph listed for this composition is 0.0091 eV per atom.

## CoTcCl2 (PBE)

Data for crystalline CoTcCl2 at its relaxed geometry.

Cell: 2.9940 4.0151 5.7153 Å, 90.00 90.00 90.00°
Closest atoms and distances in Å follow each position.
Space group Pmmm (No. 47)
One atom of each set of equivalent atoms:
1 Co 0.0000 0.0000 0.0000 [1 per cell]  4 Cl 2.50
2 Tc 0.5000 0.0000 0.5000 [1 per cell]  4 Cl 2.50
3 Cl 0.0000 0.5000 0.5000 [1 per cell]  4 Tc 2.50
4 Cl 0.5000 0.5000 0.0000 [1 per cell]  4 Co 2.50

The size of the total moment is 4.934 μB/cell. As for the theoretical density: 5.5 g/cm³. The value obtained for the uncorrected formation energy is 242.9 kJ/mol of formula units. Its energy relative to the lowest polymorph listed for this composition is 0.6467 eV per atom.

## Ti3Zn2Au (PBE)

Data for crystalline Ti3Zn2Au at its relaxed geometry.

Cell: 2.9081 2.9081 11.4826 Å, 90.00 90.00 90.00°
Closest atoms and distances in Å follow each position.
Space group P4/mmm (No. 123)
One atom of each set of equivalent atoms:
1 Ti 0.0000 0.0000 0.0000 [1 per cell]  8 Zn 2.78, 4 Ti 2.91
2 Ti 0.0000 0.0000 0.3257 [2 per cell]  4 Zn 2.78, 4 Au 2.87, 4 Ti 2.91
3 Zn 0.5000 0.5000 0.1634 [2 per cell]  8 Ti 2.78, 4 Zn 2.91
4 Au 0.5000 0.5000 0.5000 [1 per cell]  8 Ti 2.87, 4 Au 2.91

The size of the total moment is 1.970 μB/cell. As for the theoretical density: 8.1 g/cm³. The calculation puts the formation enthalpy at 0 K at -0.24 eV/atom.

## Na2TbPb9 (PBE)

Data for crystalline Na2TbPb9 at its relaxed geometry.

Cell: 4.8615 4.8615 15.0276 Å, 90.00 90.00 90.00°
Closest atoms and distances in Å follow each position.
Space group P4/mmm (No. 123)
One atom of each set of equivalent atoms:
1 Na 0.0000 0.0000 0.1683 [2 per cell]  12 Pb 3.44-3.51
2 Tb 0.0000 0.0000 0.5000 [1 per cell]  12 Pb 3.44-3.49
3 Pb 0.0000 0.5000 0.0000 [2 per cell]  8 Pb 3.44-3.46, 4 Na 3.51
4 Pb 0.0000 0.5000 0.3335 [4 per cell]  8 Pb 3.44-3.52, 2 Na 3.48, 2 Tb 3.49
5 Pb 0.5000 0.5000 0.1643 [2 per cell]  4 Na 3.44, 8 Pb 3.46-3.52
6 Pb 0.5000 0.5000 0.5000 [1 per cell]  4 Tb 3.44, 8 Pb 3.49

The size of the total moment is 0.000 μB/cell. As for the theoretical density: 9.7 g/cm³. The calculation puts the formation enthalpy at 0 K at -0.18 eV/atom.

## CaHfAgSn2 (PBE)

Data for crystalline CaHfAgSn2 at its relaxed geometry.

Cell: 5.3182 5.3182 5.2700 Å, 90.00 90.00 90.00°
Closest atoms and distances in Å follow each position.
Space group P4/mmm (No. 123)
One atom of each set of equivalent atoms:
1 Ca 0.0000 0.0000 0.0000 [1 per cell]  8 Sn 3.74, 4 Hf 3.76
2 Hf 0.5000 0.5000 0.0000 [1 per cell]  2 Ag 2.64
3 Ag 0.5000 0.5000 0.5000 [1 per cell]  2 Hf 2.64, 4 Sn 2.66
4 Sn 0.0000 0.5000 0.5000 [2 per cell]  2 Ag 2.66

The size of the total moment is 0.830 μB/cell. As for the theoretical density: 6.3 g/cm³. The calculation puts the formation enthalpy at 0 K at 0.47 eV/atom.

## Rb3ZnF4 (PBE)

Data for crystalline Rb3ZnF4 at its relaxed geometry.

Cell: 10.6615 5.7560 5.7656 Å, 90.00 90.00 90.00°
Closest atoms and distances in Å follow each position.
Space group Pmn2_1 (No. 31)
One atom of each set of equivalent atoms:
1 Rb 0.0000 0.2328 0.0000 [2 per cell]  6 F 2.84-3.04
2 Rb 0.2498 0.2568 0.5106 [4 per cell]  6 F 2.80-2.89
3 Zn 0.0000 0.7583 0.5151 [2 per cell]  2 F 2.02
4 F 0.0000 0.1077 0.4919 [2 per cell]  1 Zn 2.02
5 F 0.0000 0.7220 0.8627 [2 per cell]  1 Zn 2.02
6 F 0.2334 0.7552 0.5101 [4 per cell]  1 Zn 2.49

The size of the total moment is 1.809 μB/cell. As for the theoretical density: 3.7 g/cm³. The value obtained for the uncorrected formation energy is -1751.9 kJ/mol of formula units.

## TlGaSn5 (PBE)

Data for crystalline TlGaSn5 at its relaxed geometry.

Cell: 4.7568 4.7568 8.6804 Å, 90.00 90.00 90.00°
Closest atoms and distances in Å follow each position.
Space group P4/mmm (No. 123)
One atom of each set of equivalent atoms:
1 Tl 0.0000 0.0000 0.0000 [1 per cell]  12 Sn 3.36-3.45
2 Ga 0.0000 0.0000 0.5000 [1 per cell]  8 Sn 3.01
3 Sn 0.0000 0.5000 0.2883 [4 per cell]  2 Ga 3.01, 4 Sn 3.36
4 Sn 0.5000 0.5000 0.0000 [1 per cell]  4 Tl 3.36, 8 Sn 3.45

The size of the total moment is 0.000 μB/cell. As for the theoretical density: 7.3 g/cm³. The calculation puts the formation enthalpy at 0 K at 0.08 eV/atom. Its energy relative to the lowest polymorph listed for this composition is 0.0000 eV per atom.

## BaTeP2 (PBE)

Data for crystalline BaTeP2 at its relaxed geometry.

Cell: 4.3820 4.3820 10.9184 Å, 90.00 90.00 90.00°
Closest atoms and distances in Å follow each position.
Space group I-4m2 (No. 119)
One atom of each set of equivalent atoms:
1 Ba 0.0000 0.0000 0.0000 [2 per cell]  4 P 3.10
2 Te 0.0000 0.5000 0.2500 [2 per cell]  4 P 3.10
3 P 0.0000 0.0000 0.5000 [2 per cell]  4 Ba 3.10
4 P 0.0000 0.5000 0.7500 [2 per cell]  4 Te 3.10

The size of the total moment is 0.000 μB/cell. As for the theoretical density: 5.2 g/cm³. The value obtained for the uncorrected formation energy is -1.0 kJ/mol of formula units.

## LiBeSe2 (PBE)

Data for crystalline LiBeSe2 at its relaxed geometry.

Cell: 3.3630 3.3630 7.1851 Å, 90.00 90.00 90.00°
Closest atoms and distances in Å follow each position.
Space group P4mm (No. 99)
One atom of each set of equivalent atoms:
1 Li 0.0000 0.0000 0.0000 [1 per cell]  5 Se 2.46-2.47
2 Be 0.5000 0.5000 0.7799 [1 per cell]  1 Se 2.24
3 Se 0.0000 0.0000 0.6572 [1 per cell]  1 Li 2.46, 4 Be 2.54
4 Se 0.5000 0.5000 0.0918 [1 per cell]  1 Be 2.24, 4 Li 2.47

The size of the total moment is 0.000 μB/cell. As for the theoretical density: 3.6 g/cm³. The value obtained for the uncorrected formation energy is -181.0 kJ/mol of formula units.

## PmLuSn2 (PBE)

Data for crystalline PmLuSn2 at its relaxed geometry.

Cell: 3.9944 3.9944 6.8059 Å, 90.00 90.00 90.00°
Closest atoms and distances in Å follow each position.
Space group P4/mmm (No. 123)
One atom of each set of equivalent atoms:
1 Pm 0.0000 0.0000 0.0000 [1 per cell]  8 Sn 3.37, 2 Lu 3.40
2 Lu 0.0000 0.0000 0.5000 [1 per cell]  8 Sn 3.23, 2 Pm 3.40
3 Sn 0.5000 0.5000 0.2703 [2 per cell]  1 Sn 3.13, 4 Lu 3.23, 4 Pm 3.37

The size of the total moment is 0.000 μB/cell. As for the theoretical density: 8.5 g/cm³. The calculation puts the formation enthalpy at 0 K at -0.58 eV/atom.

## YGe3Cl (PBE)

Data for crystalline YGe3Cl at its relaxed geometry.

Cell: 5.5985 5.5985 5.5985 Å, 90.00 90.00 90.00°
Closest atoms and distances in Å follow each position.
Space group Pm-3m (No. 221)
One atom of each set of equivalent atoms:
1 Y 0.0000 0.0000 0.0000 [1 per cell]  6 Ge 2.80
2 Ge 0.0000 0.0000 0.5000 [3 per cell]  2 Y 2.80
3 Cl 0.5000 0.5000 0.5000 [1 per cell]  12 Ge 3.96

The size of the total moment is 0.000 μB/cell. As for the theoretical density: 3.2 g/cm³. The value obtained for the uncorrected formation energy is 328.5 kJ/mol of formula units. Its energy relative to the lowest polymorph listed for this composition is 0.4123 eV per atom.

## DyPuSn (PBE)

Data for crystalline DyPuSn at its relaxed geometry.

Cell: 4.2588 20.5230 3.5071 Å, 90.00 90.00 90.00°
Closest atoms and distances in Å follow each position.
Space group Cmcm (No. 63)
One atom of each set of equivalent atoms:
1 Dy 0.0000 0.1979 0.2500 [4 per cell]  4 Sn 3.21, 1 Pu 3.32, 6 Dy 3.49-3.51
2 Pu 0.0000 0.0362 0.2500 [4 per cell]  2 Pu 2.30
3 Sn 0.0000 0.3825 0.2500 [4 per cell]  4 Dy 3.21, 4 Pu 3.22, 2 Sn 3.51

The size of the total moment is 1.716 μB/cell. As for the theoretical density: 11.4 g/cm³. The calculation puts the formation enthalpy at 0 K at -0.16 eV/atom. Its energy relative to the lowest polymorph listed for this composition is 0.3193 eV per atom.

## Rb2PtSeBr6 (PBE)

Data for crystalline Rb2PtSeBr6 at its relaxed geometry.

Cell: 7.7100 7.7100 10.7334 Å, 90.00 90.00 90.00°
Closest atoms and distances in Å follow each position.
Space group I4/mmm (No. 139)
One atom of each set of equivalent atoms:
1 Rb 0.0000 0.5000 0.2500 [4 per cell]  12 Br 3.83-3.86
2 Pt 0.0000 0.0000 0.0000 [2 per cell]  6 Br 2.58-2.60
3 Se 0.0000 0.0000 0.5000 [2 per cell]  6 Br 2.76-2.87
4 Br 0.0000 0.0000 0.2426 [4 per cell]  1 Pt 2.60, 1 Se 2.76
5 Br 0.2367 0.2367 0.0000 [8 per cell]  1 Pt 2.58, 1 Se 2.87

The size of the total moment is 0.000 μB/cell. As for the theoretical density: 4.8 g/cm³. The value obtained for the uncorrected formation energy is -744.3 kJ/mol of formula units.

## La2Ni (PBE)

Data for crystalline La2Ni at its relaxed geometry.

Cell: 6.9992 6.9992 6.9992 Å, 90.00 90.00 90.00°
Closest atoms and distances in Å follow each position.
Space group Fm-3m (No. 225)
One atom of each set of equivalent atoms:
1 La 0.2500 0.2500 0.2500 [8 per cell]  4 Ni 3.03
2 Ni 0.0000 0.0000 0.0000 [4 per cell]  8 La 3.03

The size of the total moment is 0.022 μB/cell. As for the theoretical density: 6.5 g/cm³. The calculation puts the formation enthalpy at 0 K at -0.07 eV/atom.

## SrCeLu2 (PBE)

Data for crystalline SrCeLu2 at its relaxed geometry.

Cell: 3.6354 3.6354 10.2077 Å, 90.00 90.00 90.00°
Closest atoms and distances in Å follow each position.
Space group P4/mmm (No. 123)
One atom of each set of equivalent atoms:
1 Sr 0.0000 0.0000 0.0000 [1 per cell]  4 Sr 3.64, 8 Lu 3.89
2 Ce 0.0000 0.0000 0.5000 [1 per cell]  8 Lu 3.37, 4 Ce 3.64
3 Lu 0.5000 0.5000 0.2866 [2 per cell]  4 Ce 3.37, 4 Lu 3.64

The size of the total moment is 0.000 μB/cell. As for the theoretical density: 7.1 g/cm³. The calculation puts the formation enthalpy at 0 K at 0.16 eV/atom.

## KZrSc2 (PBE)

Data for crystalline KZrSc2 at its relaxed geometry.

Cell: 4.6295 4.6295 21.7664 Å, 90.00 90.00 90.00°
Closest atoms and distances in Å follow each position.
Space group I-42d (No. 122)
One atom of each set of equivalent atoms:
1 K 0.0000 0.0000 0.0000 [4 per cell]  4 Sc 3.24, 4 Zr 3.27
2 Zr 0.0000 0.0000 0.5000 [4 per cell]  4 Sc 3.12, 4 K 3.27
3 Sc 0.2153 0.7500 0.6250 [8 per cell]  2 Sc 3.05, 2 Zr 3.12, 2 K 3.24

The size of the total moment is 3.501 μB/cell. As for the theoretical density: 3.1 g/cm³. The calculation puts the formation enthalpy at 0 K at 1.09 eV/atom. Its energy relative to the lowest polymorph listed for this composition is 0.7969 eV per atom.